An optimized crystal structure of CdRhAu. Source: Alexandria via LeMat-Bulk, functional GGA-PBEsol.

The structure in extended XYZ format:
```
3
Lattice="4.3546 0.0000 0.0000 2.1773 3.7712 0.0000 2.1773 1.2571 3.5555" Properties=species:S:1:pos:R:3 pbc="T T T"
Au 2.1773 1.2571 0.8889
Rh 4.3546 2.5141 1.7777
Cd 0.0000 0.0000 0.0000
```

Output
Fermi-level density of states = 1.22 states/eV/atom
Energy relative to the elements = 0.351 eV/atom
Calculated total energy = -4.07 eV/atom
Total moment = 0.000 Bohr magnetons per cell
Space group = F-43m